(1)
# Y2CdC | Alexandria | PBE | relaxed
data_Y2CdC
_chemical_formula_sum 'Y2 Cd1 C1'
_space_group_name_H-M_alt 'P 1'
_space_group_IT_number 1
_space_group_name_Hall 'P 1'
_cell_length_a 3.551
_cell_length_b 3.551
_cell_length_c 8.340
_cell_angle_alpha 90.00
_cell_angle_beta 90.00
_cell_angle_gamma 120.02
loop_
_atom_site_label
_atom_site_type_symbol
_atom_site_fract_x
_atom_site_fract_y
_atom_site_fract_z
Y1 Y 0.467 0.533 0.325
Cd1 Cd 0.799 0.201 0.000
C1 C 0.133 0.867 0.500
Y2 Y 0.467 0.533 0.675
# Crystal system: hexagonal
# DFT formation energy in eV per atom: -0.049
# Volume in Å³/cell: 91.1
# E_tot in eV per cell: -23.3
# Mass density in g/cm³: 5.51


(2)
# Y2CdC | Alexandria | PBE | relaxed
data_Y2CdC
_chemical_formula_sum 'Y4 Cd2 C2'
_space_group_name_H-M_alt 'P 1'
_space_group_IT_number 1
_space_group_name_Hall 'P 1'
_cell_length_a 7.130
_cell_length_b 7.130
_cell_length_c 6.333
_cell_angle_alpha 55.74
_cell_angle_beta 55.74
_cell_angle_gamma 90.00
loop_
_atom_site_label
_atom_site_type_symbol
_atom_site_fract_x
_atom_site_fract_y
_atom_site_fract_z
Y1 Y 0.875 0.787 0.750
Cd1 Cd 0.000 0.000 0.000
Y2 Y 0.213 0.625 0.250
C1 C 0.250 0.750 0.500
Cd2 Cd 0.750 0.250 0.500
Y3 Y 0.537 0.125 0.250
C2 C 0.500 0.500 0.000
Y4 Y 0.375 0.463 0.750
# Crystal system: tetragonal
# DFT formation energy in eV per atom: -0.043
# Volume in Å³/cell: 194.8
# E_tot in eV per cell: -46.5
# Mass density in g/cm³: 5.15


(3)
# Y2CdC | Alexandria | PBE | relaxed
data_Y2CdC
_chemical_formula_sum 'Y2 Cd1 C1'
_space_group_name_H-M_alt 'P 1'
_space_group_IT_number 1
_space_group_name_Hall 'P 1'
_cell_length_a 4.917
_cell_length_b 4.917
_cell_length_c 4.917
_cell_angle_alpha 60.00
_cell_angle_beta 60.00
_cell_angle_gamma 60.00
loop_
_atom_site_label
_atom_site_type_symbol
_atom_site_fract_x
_atom_site_fract_y
_atom_site_fract_z
Y1 Y 0.750 0.750 0.750
Cd1 Cd 0.500 0.500 0.500
C1 C 0.000 0.000 0.000
Y2 Y 0.250 0.250 0.250
# Crystal system: cubic
# DFT formation energy in eV per atom: 0.568
# Volume in Å³/cell: 84.1
# E_tot in eV per cell: -20.8
# Mass density in g/cm³: 5.97


(4)
# Y3CdC | Alexandria | PBE | relaxed
data_Y3CdC
_chemical_formula_sum 'Y12 Cd4 C4'
_space_group_name_H-M_alt 'P 1'
_space_group_IT_number 1
_space_group_name_Hall 'P 1'
_cell_length_a 24.001
_cell_length_b 5.878
_cell_length_c 6.935
_cell_angle_alpha 90.00
_cell_angle_beta 150.08
_cell_angle_gamma 90.00
loop_
_atom_site_label
_atom_site_type_symbol
_atom_site_fract_x
_atom_site_fract_y
_atom_site_fract_z
Cd1 Cd 0.912 0.763 0.986
C1 C 0.761 0.041 0.034
C2 C 0.261 0.459 0.534
C3 C 0.739 0.541 0.466
Y1 Y 0.669 0.808 0.503
Y2 Y 0.331 0.192 0.497
Y3 Y 0.831 0.308 0.997
Y4 Y 0.832 0.308 0.492
Cd2 Cd 0.588 0.263 0.514
Cd3 Cd 0.088 0.237 0.014
Y5 Y 0.079 0.166 0.486
Y6 Y 0.332 0.192 0.992
Cd4 Cd 0.412 0.737 0.486
Y7 Y 0.168 0.692 0.508
Y8 Y 0.579 0.334 0.986
Y9 Y 0.921 0.834 0.514
Y10 Y 0.668 0.808 0.008
C4 C 0.239 0.959 0.966
Y11 Y 0.169 0.692 0.003
Y12 Y 0.421 0.666 0.014
# Crystal system: orthorhombic
# DFT formation energy in eV per atom: -0.178
# Volume in Å³/cell: 487.9
# Excess energy over the best structure of this formula in the dataset in eV per formula unit: 0.81
# E_tot in eV per cell: -121.7
# Mass density in g/cm³: 5.32


(5)
# Y2CdC | Alexandria | PBE | relaxed
data_Y2CdC
_chemical_formula_sum 'Y2 Cd1 C1'
_space_group_name_H-M_alt 'P 1'
_space_group_IT_number 1
_space_group_name_Hall 'P 1'
_cell_length_a 3.610
_cell_length_b 3.610
_cell_length_c 8.394
_cell_angle_alpha 77.58
_cell_angle_beta 77.58
_cell_angle_gamma 60.00
loop_
_atom_site_label
_atom_site_type_symbol
_atom_site_fract_x
_atom_site_fract_y
_atom_site_fract_z
Cd1 Cd 0.500 0.500 0.500
C1 C 0.000 0.000 0.000
Y1 Y 0.278 0.278 0.166
Y2 Y 0.722 0.722 0.834
# Crystal system: trigonal
# DFT formation energy in eV per atom: -0.307
# Volume in Å³/cell: 91.8
# E_tot in eV per cell: -24.3
# Mass density in g/cm³: 5.47


(6)
# Y3CdC | Alexandria | PBE | relaxed
data_Y3CdC
_chemical_formula_sum 'Y6 Cd2 C2'
_space_group_name_H-M_alt 'P 1'
_space_group_IT_number 1
_space_group_name_Hall 'P 1'
_cell_length_a 6.837
_cell_length_b 6.144
_cell_length_c 7.119
_cell_angle_alpha 90.13
_cell_angle_beta 58.67
_cell_angle_gamma 101.13
loop_
_atom_site_label
_atom_site_type_symbol
_atom_site_fract_x
_atom_site_fract_y
_atom_site_fract_z
Cd1 Cd 0.166 0.456 0.542
C1 C 0.458 0.685 0.897
Y1 Y 0.288 0.895 0.751
Y2 Y 0.130 0.359 0.061
Y3 Y 0.628 0.474 0.043
Cd2 Cd 0.750 0.913 0.252
Y4 Y 0.786 0.010 0.733
Y5 Y 0.627 0.473 0.581
C2 C 0.458 0.185 0.897
Y6 Y 0.289 0.896 0.213
# Crystal system: triclinic
# DFT formation energy in eV per atom: -0.323
# Volume in Å³/cell: 248.9
# Excess energy over the best structure of this formula in the dataset in eV per formula unit: 0.09
# E_tot in eV per cell: -62.3
# Mass density in g/cm³: 5.22


(7)
# Y3CdC | Alexandria | PBE | relaxed
data_Y3CdC
_chemical_formula_sum 'Y6 Cd2 C2'
_space_group_name_H-M_alt 'P 1'
_space_group_IT_number 1
_space_group_name_Hall 'P 1'
_cell_length_a 20.633
_cell_length_b 10.176
_cell_length_c 10.176
_cell_angle_alpha 159.93
_cell_angle_beta 158.25
_cell_angle_gamma 21.75
loop_
_atom_site_label
_atom_site_type_symbol
_atom_site_fract_x
_atom_site_fract_y
_atom_site_fract_z
Y1 Y 0.964 0.652 0.348
Y2 Y 0.285 0.720 0.280
Y3 Y 0.715 0.280 0.720
Y4 Y 0.557 0.598 0.402
Y5 Y 0.036 0.348 0.652
Cd1 Cd 0.174 0.059 0.941
Cd2 Cd 0.826 0.941 0.059
C1 C 0.378 0.047 0.953
Y6 Y 0.443 0.402 0.598
C2 C 0.622 0.953 0.047
# Crystal system: monoclinic
# DFT formation energy in eV per atom: -0.122
# Volume in Å³/cell: 243.5
# Excess energy over the best structure of this formula in the dataset in eV per formula unit: 1.09
# E_tot in eV per cell: -60.3
# Mass density in g/cm³: 5.34


(8)
# Y3CdC | Alexandria | PBE | relaxed
data_Y3CdC
_chemical_formula_sum 'Y6 Cd2 C2'
_space_group_name_H-M_alt 'P 1'
_space_group_IT_number 1
_space_group_name_Hall 'P 1'
_cell_length_a 6.800
_cell_length_b 6.800
_cell_length_c 7.090
_cell_angle_alpha 90.00
_cell_angle_beta 90.00
_cell_angle_gamma 119.87
loop_
_atom_site_label
_atom_site_type_symbol
_atom_site_fract_x
_atom_site_fract_y
_atom_site_fract_z
Y1 Y 0.501 0.999 0.750
Y2 Y 0.000 0.000 0.500
Y3 Y 0.001 0.499 0.750
Cd1 Cd 0.496 0.504 0.750
Y4 Y 0.499 0.001 0.250
C1 C 0.870 0.130 0.750
Y5 Y 0.000 0.000 0.000
Y6 Y 0.999 0.501 0.250
Cd2 Cd 0.504 0.496 0.250
C2 C 0.130 0.870 0.250
# Crystal system: orthorhombic
# DFT formation energy in eV per atom: 0.176
# Volume in Å³/cell: 284.3
# Excess energy over the best structure of this formula in the dataset in eV per formula unit: 2.58
# E_tot in eV per cell: -57.3
# Mass density in g/cm³: 4.57


(9)
# YCdC3 | Alexandria | PBE | relaxed
data_YCdC3
_chemical_formula_sum 'Y1 Cd1 C3'
_space_group_name_H-M_alt 'P 1'
_space_group_IT_number 1
_space_group_name_Hall 'P 1'
_cell_length_a 4.542
_cell_length_b 4.542
_cell_length_c 4.542
_cell_angle_alpha 90.00
_cell_angle_beta 90.00
_cell_angle_gamma 90.00
loop_
_atom_site_label
_atom_site_type_symbol
_atom_site_fract_x
_atom_site_fract_y
_atom_site_fract_z
Cd1 Cd 0.500 0.500 0.500
Y1 Y 0.000 0.000 0.000
C1 C 0.500 0.000 0.000
C2 C 0.000 0.000 0.500
C3 C 0.000 0.500 0.000
# Crystal system: cubic
# DFT formation energy in eV per atom: 2.576
# Volume in Å³/cell: 93.7
# Excess energy over the best structure of this formula in the dataset in eV per formula unit: 1.54
# E_tot in eV per cell: -22.2
# Mass density in g/cm³: 4.21


(10)
# Y2ZrCdC | Alexandria | PBE | relaxed
data_Y2ZrCdC
_chemical_formula_sum 'Y2 Zr1 Cd1 C1'
_space_group_name_H-M_alt 'P 1'
_space_group_IT_number 1
_space_group_name_Hall 'P 1'
_cell_length_a 4.933
_cell_length_b 4.933
_cell_length_c 4.600
_cell_angle_alpha 90.00
_cell_angle_beta 90.00
_cell_angle_gamma 90.00
loop_
_atom_site_label
_atom_site_type_symbol
_atom_site_fract_x
_atom_site_fract_y
_atom_site_fract_z
Cd1 Cd 0.500 0.500 0.500
Y1 Y 0.000 0.500 0.000
C1 C 0.000 0.000 0.000
Y2 Y 0.500 0.000 0.000
Zr1 Zr 0.000 0.000 0.500
# Crystal system: tetragonal
# DFT formation energy in eV per atom: -0.338
# Volume in Å³/cell: 111.9
# E_tot in eV per cell: -33.3
# Mass density in g/cm³: 5.84


| no. | DOS at the Fermi energy (states/eV/f.u.) |
| --- | --- |
| 1 | 3.2 |
| 2 | 1.7 |
| 3 | 3.0 |
| 4 | 2.2 |
| 5 | 3.0 |
| 6 | 0.6 |
| 7 | 4.4 |
| 8 | 8.4 |
| 9 | 5.1 |
| 10 | 4.8 |